Here is an optimized crystal structure of La8Pr3Tm3 from Alexandria. Energies are from PBE-GGA.

a = 5.803 Å, b = 11.012 Å, c = 15.523 Å
α = 90.00°, β = 90.00°, γ = 90.00°
Space group Immm (No. 71)
Unique sites:
La1 0.000 0.159 0.224 x8
La2 0.000 0.337 0.396 x8
Pr1 0.000 0.000 0.500 x2
Pr2 0.000 0.500 0.177 x4
Tm1 0.000 0.000 0.000 x2
Tm2 0.000 0.300 0.000 x4

=====

Here is an optimized crystal structure of LaPr2Tm9 from Alexandria. Energies are from PBE-GGA.

a = 5.021 Å, b = 5.021 Å, c = 15.069 Å
α = 90.00°, β = 90.00°, γ = 90.00°
Space group P4/mmm (No. 123)
Unique sites:
La1 0.000 0.000 0.000 x1
Pr1 0.000 0.000 0.333 x2
Tm1 0.000 0.500 0.168 x4
Tm2 0.000 0.500 0.500 x2
Tm3 0.500 0.500 0.000 x1
Tm4 0.500 0.500 0.334 x2

=====

Calculated total magnetic moment, 0.0 0.0 μB/f.u. (same order as the records).
Calculated ρ, 6.83 8.48 g cm⁻³ (same order as the records).
Calculated electronic total energy, -4.712 -4.527 eV/atom (same order as the records).